[1]
Density functional theory data (PBE) for TiNiPdAu after structural relaxation.

Cell and atoms, written as CIF:
```
data_TiNiPdAu
_cell_length_a 6.226
_cell_length_b 6.226
_cell_length_c 6.226
_cell_angle_alpha 90.00
_cell_angle_beta 90.00
_cell_angle_gamma 90.00
_space_group_name_H-M_alt 'F -4 3 m'
_space_group_IT_number 216
_space_group_name_Hall 'F -4 2 3'
loop_
_atom_site_label
_atom_site_fract_x
_atom_site_fract_y
_atom_site_fract_z
Ti1 0.000 0.000 0.000
Ni1 0.250 0.250 0.250
Pd1 0.250 0.250 0.750
Au1 0.000 0.000 0.500
```

Output
ΔE to the lowest computed polymorph (meV/atom): 126
Formation enthalpy at 0 K (kJ/mol of formula units): -123
V (Å³/cell): 241.4
Final energy (eV per cell): -93.7

=====

[2]
Density functional theory data (PBE) for TbHfGa after structural relaxation.

Cell and atoms, written as CIF:
```
data_TbHfGa
_cell_length_a 3.330
_cell_length_b 3.330
_cell_length_c 12.397
_cell_angle_alpha 90.00
_cell_angle_beta 90.00
_cell_angle_gamma 90.00
_space_group_name_H-M_alt 'I 4 m m'
_space_group_IT_number 107
_space_group_name_Hall 'I 4 -2'
loop_
_atom_site_label
_atom_site_fract_x
_atom_site_fract_y
_atom_site_fract_z
Tb1 0.000 0.000 0.000
Hf1 0.000 0.000 0.310
Ga1 0.000 0.000 0.668
```

Output
ΔE to the lowest computed polymorph (meV/atom): 142
Formation enthalpy at 0 K (kJ/mol of formula units): -72
V (Å³/cell): 137.5
Final energy (eV per cell): -36.7

=====

[3]
Density functional theory data (PBE) for Tl2Ga3PbAu12 after structural relaxation.

Cell and atoms, written as CIF:
```
data_Tl2Ga3PbAu12
_cell_length_a 7.4126
_cell_length_b 7.4126
_cell_length_c 26.1826
_cell_angle_alpha 90.00
_cell_angle_beta 90.00
_cell_angle_gamma 120.00
_space_group_name_H-M_alt 'R -3 m'
_space_group_IT_number 166
_space_group_name_Hall '-R 3 2"'
loop_
_atom_site_label
_atom_site_fract_x
_atom_site_fract_y
_atom_site_fract_z
Tl1 0.0000 0.0000 0.1401
Ga1 0.0000 0.5000 0.0000
Pb1 0.0000 0.0000 0.5000
Au1 0.0442 0.5221 0.8948
Au2 0.0699 0.5349 0.6222
```

Output
Formation enthalpy at 0 K (kJ/mol of formula units): 92
V (Å³/cell): 1245.9
Final energy (eV per cell): -167.7

=====

[4]
Density functional theory data (PBE) for Er5NpRu6 after structural relaxation.

Cell and atoms, written as CIF:
```
data_Er5NpRu6
_cell_length_a 15.664
_cell_length_b 4.798
_cell_length_c 6.768
_cell_angle_alpha 90.00
_cell_angle_beta 115.54
_cell_angle_gamma 90.00
_space_group_name_H-M_alt 'C 1 2/m 1'
_space_group_IT_number 12
loop_
_space_group_symop_operation_xyz
'x,y,z'
'-x,-y,-z'
'-x,y,-z'
'x,-y,z'
'x+1/2,y+1/2,z'
'-x+1/2,-y+1/2,-z'
'-x+1/2,y+1/2,-z'
'x+1/2,-y+1/2,z'
loop_
_atom_site_label
_atom_site_fract_x
_atom_site_fract_y
_atom_site_fract_z
Er1 0.000 0.000 0.000
Er2 0.164 0.500 0.164
Er3 0.174 0.500 0.674
Np1 0.000 0.000 0.500
Ru1 0.000 0.500 0.271
Ru2 0.156 0.000 0.423
Ru3 0.156 0.000 0.890
```

Output
Formation enthalpy at 0 K (kJ/mol of formula units): -465
V (Å³/cell): 459.0
Final energy (eV per cell): -192.4

=====

[5]
Density functional theory data (PBE) for KPb after structural relaxation.

Cell and atoms, written as CIF:
```
data_KPb
_cell_length_a 10.207
_cell_length_b 10.207
_cell_length_c 10.207
_cell_angle_alpha 90.00
_cell_angle_beta 90.00
_cell_angle_gamma 90.00
_space_group_name_H-M_alt 'P m -3 n'
_space_group_IT_number 223
_space_group_name_Hall '-P 4n 2 3'
loop_
_atom_site_label
_atom_site_fract_x
_atom_site_fract_y
_atom_site_fract_z
K1 0.000 0.250 0.500
Pb1 0.000 0.500 0.250
```

Output
ΔE to the lowest computed polymorph (meV/atom): 961
Formation enthalpy at 0 K (kJ/mol of formula units): 139
V (Å³/cell): 1063.3
Final energy (eV per cell): -20.2

=====

[6]
Density functional theory data (PBE) for ThC2ClO6 after structural relaxation.

Cell and atoms, written as CIF:
```
data_ThC2ClO6
_cell_length_a 10.247
_cell_length_b 7.969
_cell_length_c 8.470
_cell_angle_alpha 90.00
_cell_angle_beta 123.58
_cell_angle_gamma 90.00
_space_group_name_H-M_alt 'C 1 2/c 1'
_space_group_IT_number 15
loop_
_space_group_symop_operation_xyz
'x,y,z'
'-x,-y,-z'
'-x,y,-z+1/2'
'x,-y,z+1/2'
'x+1/2,y+1/2,z'
'-x+1/2,-y+1/2,-z'
'-x+1/2,y+1/2,-z+1/2'
'x+1/2,-y+1/2,z+1/2'
loop_
_atom_site_label
_atom_site_fract_x
_atom_site_fract_y
_atom_site_fract_z
Th1 0.000 0.040 0.250
C1 0.240 0.364 0.253
Cl1 0.000 0.340 0.750
O1 0.136 0.077 0.588
O2 0.144 0.265 0.255
O3 0.230 0.414 0.102
```

Output
Formation energy (no corrections) (eV/f.u.): -18.62
V (Å³/cell): 576.2
Final energy (eV per cell): -304.3

=====

[7]
Density functional theory data (PBE) for ErSnRh4 after structural relaxation.

Cell and atoms, written as CIF:
```
data_ErSnRh4
_cell_length_a 3.035
_cell_length_b 4.548
_cell_length_c 7.817
_cell_angle_alpha 90.00
_cell_angle_beta 90.00
_cell_angle_gamma 90.00
_space_group_name_H-M_alt 'P m m m'
_space_group_IT_number 47
loop_
_space_group_symop_operation_xyz
'x,y,z'
'-x,-y,-z'
'-x,-y,z'
'x,y,-z'
'x,-y,-z'
'-x,y,z'
'-x,y,-z'
'x,-y,z'
loop_
_atom_site_label
_atom_site_fract_x
_atom_site_fract_y
_atom_site_fract_z
Er1 0.000 0.000 0.000
Sn1 0.500 0.500 0.500
Rh1 0.000 0.500 0.218
Rh2 0.500 0.000 0.297
```

Output
ΔE to the lowest computed polymorph (meV/atom): 252
Formation enthalpy at 0 K (kJ/mol of formula units): -138
V (Å³/cell): 107.9
Final energy (eV per cell): -39.4

=====

[8]
Density functional theory data (PBE) for TaSiF after structural relaxation.

Cell and atoms, written as CIF:
```
data_TaSiF
_cell_length_a 4.620
_cell_length_b 4.617
_cell_length_c 7.663
_cell_angle_alpha 90.00
_cell_angle_beta 101.35
_cell_angle_gamma 90.00
_space_group_name_H-M_alt 'C 1 2 1'
_space_group_IT_number 5
loop_
_space_group_symop_operation_xyz
'x,y,z'
'-x,y,-z'
'x+1/2,y+1/2,z'
'-x+1/2,y+1/2,-z'
loop_
_atom_site_label
_atom_site_fract_x
_atom_site_fract_y
_atom_site_fract_z
Ta1 0.163 0.000 0.237
Si1 0.222 0.497 0.413
F1 0.229 0.832 0.955
```

Output
ΔE to the lowest computed polymorph (meV/atom): 89
Formation energy (no corrections) (eV/f.u.): -3.52
V (Å³/cell): 160.3
Final energy (eV per cell): -90.7

=====

[9]
Density functional theory data (PBE) for MgAs3Rh after structural relaxation.

Cell and atoms, written as CIF:
```
data_MgAs3Rh
_cell_length_a 4.862
_cell_length_b 4.862
_cell_length_c 4.862
_cell_angle_alpha 90.00
_cell_angle_beta 90.00
_cell_angle_gamma 90.00
_space_group_name_H-M_alt 'P m -3 m'
_space_group_IT_number 221
_space_group_name_Hall '-P 4 2 3'
loop_
_atom_site_label
_atom_site_fract_x
_atom_site_fract_y
_atom_site_fract_z
Mg1 0.000 0.000 0.000
As1 0.000 0.500 0.500
Rh1 0.500 0.500 0.500
```

Output
ΔE to the lowest computed polymorph (meV/atom): 0
Formation enthalpy at 0 K (kJ/mol of formula units): 151
V (Å³/cell): 114.9
Final energy (eV per cell): -21.3

=====

[10]
Density functional theory data (PBE) for LaNdTmPu after structural relaxation.

Cell and atoms, written as CIF:
```
data_LaNdTmPu
_cell_length_a 8.046
_cell_length_b 8.046
_cell_length_c 8.046
_cell_angle_alpha 90.00
_cell_angle_beta 90.00
_cell_angle_gamma 90.00
_space_group_name_H-M_alt 'F -4 3 m'
_space_group_IT_number 216
_space_group_name_Hall 'F -4 2 3'
loop_
_atom_site_label
_atom_site_fract_x
_atom_site_fract_y
_atom_site_fract_z
La1 0.000 0.000 0.000
Nd1 0.000 0.000 0.500
Tm1 0.250 0.250 0.750
Pu1 0.250 0.250 0.250
```

Output
Formation enthalpy at 0 K (kJ/mol of formula units): 78
V (Å³/cell): 520.9
Final energy (eV per cell): -110.7

=====

> Among the records above, which one has the highest V?

Tl2Ga3PbAu12

=====

> final energy of number 1 (TiNiPdAu)?

-93.7 eV per cell

=====

> Which of these has the lowest final energy?

ThC2ClO6